DFT (PBE-GGA) results for an optimized crystal structure of ZrAl2Te.

Results
Calculated total energy (eV/atom): -4.72
Crystal system: cubic

abc: 6.9858 6.9858 6.9858
angles: 90.00 90.00 90.00
Space group F-43m (No. 216)
Unique sites:
Zr  0.0000  0.0000  0.0000 (multiplicity 4)
Al  0.0000  0.0000  0.5000 (multiplicity 4)
Al  0.2500  0.2500  0.2500 (multiplicity 4)
Te  0.2500  0.2500  0.7500 (multiplicity 4)